[1]
VASP calculation (PBE) on a relaxed structure of Pa2TiPb.

Cell lengths 4.010, 4.010, 6.233 Å; angles 90.00, 90.00, 90.00 degrees
Element x y z (fractional)
Pb  0.500  0.500  0.500
Ti  0.500  0.500  0.000
Pa  0.000  0.000  0.775
Pa  0.000  0.000  0.225

Computed properties:
excess energy over the best structure of this formula in the dataset: 237 meV/atom
formation energy from the elements: 267 meV per atom
DOS at the Fermi energy: 2.440 states/eV/atom

[2]
VASP calculation (PBE) on a relaxed structure of LiCo2Ir2.

Cell lengths 7.257, 7.257, 2.606 Å; angles 90.00, 90.00, 90.00 degrees
Element x y z (fractional)
Co  0.879  0.621  0.000
Co  0.121  0.379  0.000
Co  0.379  0.879  0.000
Co  0.621  0.121  0.000
Ir  0.326  0.174  0.500
Ir  0.174  0.674  0.500
Ir  0.826  0.326  0.500
Ir  0.674  0.826  0.500
Li  0.000  0.000  0.000
Li  0.500  0.500  0.000

Computed properties:
excess energy over the best structure of this formula in the dataset: 0 meV/atom
formation energy from the elements: 78 meV per atom
DOS at the Fermi energy: 1.029 states/eV/atom